The following is a GGA+U calculation of a geometry-optimized Na2SmMoO6 structure, from the Alexandria database.

Calculated total energy: -6.387 eV/atom
Space group: P2_1/c

Unit cell a=5.728 b=5.902 c=8.206 alpha=90.00 beta=90.12 gamma=90.00
Fractional positions:
Na  0.010  0.962  0.254
Na  0.510  0.538  0.754
Na  0.990  0.038  0.746
Na  0.490  0.462  0.246
Sm  0.500  0.000  0.000
Sm  0.000  0.500  0.500
Mo  0.500  0.000  0.500
Mo  0.000  0.500  0.000
O  0.273  0.683  0.045
O  0.773  0.817  0.545
O  0.727  0.317  0.955
O  0.227  0.183  0.455
O  0.322  0.729  0.444
O  0.822  0.771  0.944
O  0.678  0.271  0.556
O  0.178  0.229  0.056
O  0.904  0.535  0.226
O  0.404  0.965  0.726
O  0.096  0.465  0.774
O  0.596  0.035  0.274